VASP calculation (GGA-PBE) on an optimized crystal structure of LaCe3Th2As6.

abc: 7.3780 7.3780 7.3763
angles: 99.60 99.60 119.98
Last column: nearest neighbours and their distance in Å.
Element x y z (fractional)
La  0.0000  0.0000  0.0000  6 As 3.05-3.06
Ce  0.1653  0.8347  0.5000  6 As 2.98-3.01
Ce  0.5000  0.5000  0.5000  6 As 2.97-3.01
Ce  0.8347  0.1653  0.5000  6 As 2.98-3.01
Th  0.3330  0.6670  0.0000  6 As 3.01
Th  0.6670  0.3330  0.0000  6 As 3.01
As  0.0848  0.4227  0.2540  3 Ce 2.98-3.01, 2 Th 3.01, 1 La 3.06
As  0.2537  0.2537  0.7468  3 Ce 2.97-3.00, 2 Th 3.01, 1 La 3.05
As  0.4227  0.0848  0.2540  3 Ce 2.98-3.01, 2 Th 3.01, 1 La 3.06
As  0.5773  0.9152  0.7460  3 Ce 2.98-3.01, 2 Th 3.01, 1 La 3.06
As  0.7463  0.7463  0.2532  3 Ce 2.97-3.00, 2 Th 3.01, 1 La 3.05
As  0.9152  0.5773  0.7460  3 Ce 2.98-3.01, 2 Th 3.01, 1 La 3.06

* magnetic moment: 0.20 μB per atom
* E_tot: -82.922 eV per cell
* E_form: -1.4547 eV per atom